Entry from Alexandria via LeMat-Bulk: a geometry-optimized PaCu2MoO8 structure (PBE with a Hubbard U).

Lattice parameters (Å, degrees): 5.757 5.757 5.757 110.01 110.01 108.40
Element x y z (fractional)
Cu 0.500 0.500 0.000
Cu 0.750 0.250 0.500
O 0.355 0.029 0.326
O 0.903 0.698 0.205
O 0.493 0.698 0.795
O 0.971 0.645 0.674
O 0.302 0.097 0.795
O 0.302 0.507 0.205
O 0.971 0.297 0.326
O 0.703 0.029 0.674
Mo 0.250 0.750 0.500
Pa 0.000 0.000 0.000

The calculation puts the density of states at the Fermi level at 0.7471 states/eV per atom. For the uncorrected energy, the calculation gives -82.7 eV for the cell shown. The calculation puts the total magnetization at 2.71 Bohr magnetons per cell. The space group is I-4m2.